The following is a DFT calculation (GGA-PBE) of an optimized crystal structure of NdY4Al2.

The space group is R-3m (No. 166, hexagonal axes) and the conventional cell measures 5.3504, 5.3504 and 23.5754 Å, with angles of 90.00, 90.00 and 120.00 degrees. Symmetry generates all atoms from Nd at (0.0000, 0.0000, 0.0000), Y at (0.0000, 0.0000, 0.1538), Y at (0.0000, 0.0000, 0.4180) and Al at (0.0000, 0.0000, 0.2813).

The value obtained for the energy is -118.75 eV/cell. Its crystal system is trigonal. The energy of formation from the pure elements is -211 meV/atom.